{
  "formula": "Li4Ag5Hg",
  "functional": "PBE",
  "state": "relaxed",
  "lattice": [[5.406, 0.000, 0.000], [2.703, 5.758, 0.000], [2.703, 0.000, 5.758]],
  "species": ["Li", "Li", "Li", "Li", "Ag", "Ag", "Ag", "Ag", "Ag", "Hg"],
  "frac_coords": [[0.330, 0.375, 0.875], [0.205, 0.125, 0.375], [0.705, 0.875, 0.625], [0.580, 0.625, 0.125], [0.890, 0.391, 0.722], [0.003, 0.609, 0.278], [0.709, 0.000, 0.000], [0.612, 0.278, 0.391], [0.281, 0.722, 0.609], [0.197, 0.000, 0.000]],
  "sg": "I4",
  "relative_energy_kj_per_mol_fu": 129,
  "m_tot_mub_per_fu": 0.000
}

***

{
  "formula": "BaTiIn2Sn",
  "functional": "PBE",
  "state": "relaxed",
  "lattice": [[-0.130, -2.047, -5.009], [0.668, -4.978, 2.017], [-5.303, -0.563, 0.367]],
  "species": ["In", "In", "Ti", "Sn", "Ba"],
  "frac_coords": [[0.000, 0.500, 0.000], [0.500, 0.000, 0.000], [0.000, 0.000, 0.000], [0.000, 0.000, 0.500], [0.500, 0.500, 0.500]],
  "dft_energy_ev_per_cell": -20.47,
  "sg": "P4/mmm",
  "m_tot_mub_per_fu": 0.009
}

***

{
  "formula": "GdAl2Au",
  "functional": "PBE",
  "state": "relaxed",
  "lattice": [[4.326, 0.000, 0.000], [2.163, 3.746, 0.000], [2.163, 1.249, 5.236]],
  "species": ["Gd", "Al", "Al", "Au"],
  "frac_coords": [[0.000, 0.000, 0.000], [0.786, 0.786, 0.642], [0.214, 0.214, 0.358], [0.500, 0.500, 0.500]],
  "dft_energy_ev_per_cell": -27.02,
  "sg": "R-3m",
  "m_tot_mub_per_fu": 7.097
}

***

{
  "formula": "ReAgP",
  "functional": "PBE",
  "state": "relaxed",
  "lattice": [[-0.206, -2.610, 1.337], [0.398, 0.134, -2.910], [6.461, -0.059, 0.881]],
  "species": ["Re", "Ag", "P"],
  "frac_coords": [[0.333, 0.667, 0.625], [0.000, 0.000, 0.000], [0.667, 0.333, 0.375]],
  "sg": "P3m1",
  "relative_energy_kj_per_mol_fu": 43,
  "m_tot_mub_per_fu": 0.000
}

***

{
  "formula": "AlAsOs",
  "functional": "PBE",
  "state": "relaxed",
  "lattice": [[-0.613, -3.729, 1.716], [-1.587, -3.093, -2.268], [2.393, -3.209, -1.098]],
  "species": ["Os", "As", "Al"],
  "frac_coords": [[0.000, 0.000, 0.000], [0.750, 0.750, 0.750], [0.500, 0.500, 0.500]],
  "sg": "F-43m",
  "relative_energy_kj_per_mol_fu": 154,
  "m_tot_mub_per_fu": 0.000
}

***

{
  "formula": "Na2DySn9",
  "functional": "PBE",
  "state": "relaxed",
  "lattice": [[-0.725, 2.928, -3.565], [-1.004, -3.623, -2.771], [-14.012, 1.045, 3.708]],
  "species": ["Sn", "Sn", "Sn", "Sn", "Sn", "Sn", "Sn", "Sn", "Sn", "Dy", "Na", "Na"],
  "frac_coords": [[0.500, 0.000, 0.833], [0.500, 0.500, 0.000], [0.000, 0.500, 0.167], [0.500, 0.500, 0.665], [0.500, 0.000, 0.500], [0.000, 0.500, 0.500], [0.000, 0.500, 0.833], [0.500, 0.500, 0.335], [0.500, 0.000, 0.167], [0.000, 0.000, 0.000], [0.000, 0.000, 0.668], [0.000, 0.000, 0.332]],
  "dft_energy_ev_per_cell": -45.84,
  "sg": "P4/mmm",
  "m_tot_mub_per_fu": 0.000
}

***

{
  "formula": "Ac5Sn2Pb",
  "functional": "PBE",
  "state": "relaxed",
  "lattice": [[-3.428, -7.306, -3.768], [-1.064, -3.654, 8.052], [-4.777, 8.538, -1.682]],
  "species": ["Sn", "Sn", "Sn", "Sn", "Ac", "Ac", "Ac", "Ac", "Ac", "Ac", "Ac", "Ac", "Ac", "Ac", "Pb", "Pb"],
  "frac_coords": [[0.133, 0.367, 0.000], [0.867, 0.633, 0.000], [0.367, 0.867, 0.000], [0.633, 0.133, 0.000], [0.983, 0.483, 0.294], [0.483, 0.311, 0.294], [0.311, 0.811, 0.294], [0.689, 0.189, 0.706], [0.000, 0.000, 0.000], [0.017, 0.517, 0.706], [0.500, 0.500, 0.000], [0.189, 0.017, 0.706], [0.811, 0.983, 0.294], [0.517, 0.689, 0.706], [0.250, 0.250, 0.500], [0.750, 0.750, 0.500]],
  "dft_energy_ev_per_cell": -73.43,
  "sg": "I4/mcm",
  "m_tot_mub_per_fu": 0.047
}

***

{
  "formula": "AlHgMo2",
  "functional": "PBE",
  "state": "relaxed",
  "lattice": [[5.187, -0.001, 0.000], [2.042, 4.769, 0.000], [-3.140, -3.104, 2.723]],
  "species": ["Hg", "Mo", "Mo", "Al"],
  "frac_coords": [[0.255, 0.755, 0.500], [0.757, 0.257, 0.500], [0.983, 0.983, 0.000], [0.506, 0.506, 0.000]],
  "sg": "Imm2",
  "relative_energy_kj_per_mol_fu": 40,
  "m_tot_mub_per_fu": 0.000
}